20
Lattice="5.073 -4.711 0.000 5.073 4.711 0.000 -1.212 0.000 5.285" Properties=species:S:1:pos:R:3 comment="CdFeGe2O6 (PBE with a Hubbard U, relaxed)" spacegroup="C2/c (15)" dft_energy_ev_per_cell=-121.60 pbc="T T T"
Cd 4.164 2.698 3.963
Cd 4.770 -2.698 1.321
Fe 4.770 0.880 1.321
Fe 4.164 -0.880 3.963
Ge 1.152 0.872 4.139
Ge 1.758 -0.872 1.497
Ge 7.176 0.872 3.788
Ge 7.782 -0.872 1.145
O 1.380 0.489 0.339
O 3.367 2.404 1.876
O 0.774 -0.489 2.981
O 2.857 0.805 4.565
O 6.174 2.404 0.766
O 3.463 -0.805 1.922
O 5.472 0.805 3.362
O 2.761 -2.404 4.518
O 6.078 -0.805 0.720
O 8.160 0.489 2.303
O 5.568 -2.404 3.409
O 7.554 -0.489 4.946